[1]
Pa2Si3GeRh4: optimized geometry, GGA-PBE.

Unit cell a=4.111 b=4.111 c=9.989 alpha=90.00 beta=90.00 gamma=90.00
Space group P-4m2 (No. 115)
Inequivalent atoms, fractional coordinates:
1 Pa 0.000 0.500 0.249 [2 per cell]
2 Si 0.000 0.500 0.868 [2 per cell]
3 Si 0.500 0.500 0.500 [1 per cell]
4 Ge 0.000 0.000 0.500 [1 per cell]
5 Rh 0.000 0.000 0.000 [1 per cell]
6 Rh 0.000 0.500 0.633 [2 per cell]
7 Rh 0.500 0.500 0.000 [1 per cell]

Computed properties:
raw formation energy	-0.925	eV/atom

[2]
Pa2SiGe3Rh4: optimized geometry, GGA-PBE.

Unit cell a=4.172 b=4.172 c=10.037 alpha=90.00 beta=90.00 gamma=90.00
Space group P-4m2 (No. 115)
Inequivalent atoms, fractional coordinates:
1 Pa 0.000 0.500 0.248 [2 per cell]
2 Si 0.500 0.500 0.000 [1 per cell]
3 Ge 0.000 0.000 0.000 [1 per cell]
4 Ge 0.000 0.500 0.637 [2 per cell]
5 Rh 0.000 0.000 0.500 [1 per cell]
6 Rh 0.000 0.500 0.876 [2 per cell]
7 Rh 0.500 0.500 0.500 [1 per cell]

Computed properties:
raw formation energy	-0.796	eV/atom

[3]
SmPaGe2Rh5: optimized geometry, GGA-PBE.

Unit cell a=4.227 b=4.227 c=8.864 alpha=90.00 beta=90.00 gamma=90.00
Space group P4/mmm (No. 123)
Inequivalent atoms, fractional coordinates:
1 Sm 0.000 0.000 0.000 [1 per cell]
2 Pa 0.000 0.000 0.500 [1 per cell]
3 Ge 0.500 0.500 0.361 [2 per cell]
4 Rh 0.000 0.500 0.237 [4 per cell]
5 Rh 0.500 0.500 0.000 [1 per cell]

Computed properties:
calculated formation energy	-680.3	meV per atom

[4]
Sr2PaGe3Rh4: optimized geometry, GGA-PBE.

Unit cell a=4.355 b=4.355 c=10.868 alpha=90.00 beta=90.00 gamma=90.00
Space group P-4m2 (No. 115)
Inequivalent atoms, fractional coordinates:
1 Sr 0.000 0.500 0.228 [2 per cell]
2 Pa 0.000 0.000 0.500 [1 per cell]
3 Ge 0.000 0.500 0.881 [2 per cell]
4 Ge 0.500 0.500 0.500 [1 per cell]
5 Rh 0.000 0.000 0.000 [1 per cell]
6 Rh 0.000 0.500 0.645 [2 per cell]
7 Rh 0.500 0.500 0.000 [1 per cell]

Computed properties:
calculated formation energy	-724.2	meV per atom

[5]
SrPaGe2Rh5: optimized geometry, GGA-PBE.

Unit cell a=4.799 b=4.799 c=7.475 alpha=90.00 beta=90.00 gamma=90.00
Space group P4/mmm (No. 123)
Inequivalent atoms, fractional coordinates:
1 Sr 0.000 0.000 0.000 [1 per cell]
2 Pa 0.000 0.000 0.500 [1 per cell]
3 Ge 0.500 0.500 0.324 [2 per cell]
4 Rh 0.000 0.500 0.299 [4 per cell]
5 Rh 0.500 0.500 0.000 [1 per cell]

Computed properties:
calculated formation energy	-461.5	meV per atom

[6]
Pa2TaGe4Rh3: optimized geometry, GGA-PBE.

Unit cell a=4.113 b=4.113 c=10.856 alpha=90.00 beta=90.00 gamma=90.00
Space group P-4m2 (No. 115)
Inequivalent atoms, fractional coordinates:
1 Pa 0.000 0.500 0.240 [2 per cell]
2 Ta 0.000 0.000 0.500 [1 per cell]
3 Ge 0.000 0.000 0.000 [1 per cell]
4 Ge 0.000 0.500 0.648 [2 per cell]
5 Ge 0.500 0.500 0.000 [1 per cell]
6 Rh 0.000 0.500 0.870 [2 per cell]
7 Rh 0.500 0.500 0.500 [1 per cell]

Computed properties:
calculated formation energy	-585.4	meV per atom

[7]
TbPaGe2Rh5: optimized geometry, GGA-PBE.

Unit cell a=3.938 b=3.938 c=12.922 alpha=90.00 beta=90.00 gamma=90.00
Space group P4/mmm (No. 123)
Inequivalent atoms, fractional coordinates:
1 Tb 0.000 0.000 0.000 [1 per cell]
2 Pa 0.500 0.500 0.500 [1 per cell]
3 Ge 0.500 0.500 0.279 [2 per cell]
4 Rh 0.000 0.500 0.164 [4 per cell]
5 Rh 0.500 0.500 0.000 [1 per cell]

Computed properties:
calculated formation energy	71.9	meV per atom

[8]
PaTcGeRh: optimized geometry, GGA-PBE.

Unit cell a=3.384 b=4.728 c=4.875 alpha=90.00 beta=90.00 gamma=90.00
Space group Pmmm (No. 47)
Inequivalent atoms, fractional coordinates:
1 Pa 0.000 0.000 0.000 [1 per cell]
2 Tc 0.500 0.500 0.000 [1 per cell]
3 Ge 0.500 0.500 0.500 [1 per cell]
4 Rh 0.500 0.000 0.500 [1 per cell]

Computed properties:
excess energy over the best structure of this formula in the dataset	0.80	eV per formula unit
calculated formation energy	-170.4	meV per atom

Number 1: magnetic moment 0.0 μB/f.u.. Number 2: magnetic moment 0.0 μB/f.u.. Number 3: magnetic moment 0.0 μB/f.u.. Number 4: magnetic moment 0.0 μB/f.u.. Number 5: magnetic moment 0.0 μB/f.u.. Number 6: magnetic moment 0.5 μB/f.u.. Number 7: magnetic moment 2.0 μB/f.u.. Number 8: magnetic moment 0.0 μB/f.u..